Entry from Alexandria: an optimized crystal structure of Na2SrU2O7 (PBE).

Output
- DOS(E_F) (states/eV/cell) = 0.46
- calculated density (g cm⁻³) = 6.23
- formation energy (no corrections) (eV per atom) = -2.8661
- raw total energy (eV/atom) = -8.00

Structure (POSCAR):
```
Na2SrU2O7
1.0
-1.569 2.690 3.033
0.782 -2.991 3.057
9.713 4.011 -1.650
Na Sr U O
2 1 2 7
Cartesian
5.050 0.435 2.226
3.874 3.276 2.214
8.144 6.700 1.385
7.349 3.045 1.100
1.577 0.666 3.340
7.990 1.653 2.667
3.446 1.441 3.620
2.110 -0.782 1.785
0.936 2.058 1.774
5.479 2.270 0.820
6.815 4.494 2.654
9.319 3.862 1.394
```

---

Entry from Alexandria: an optimized crystal structure of AlHgI (PBE).

Output
- DOS(E_F) (states/eV/cell) = 0.48
- calculated density (g cm⁻³) = 5.87
- formation energy (no corrections) (eV per atom) = -0.0784
- raw total energy (eV/atom) = -1.94

Structure (POSCAR):
```
AlHgI
1.0
-1.453 2.637 2.564
2.886 -1.794 5.310
6.482 5.223 -0.237
I Hg Al
2 2 2
Cartesian
6.615 5.077 5.756
1.299 0.989 1.881
5.208 3.246 1.978
2.706 2.820 5.658
3.031 4.884 1.998
4.883 1.182 5.638
```

---

Entry from Alexandria: an optimized crystal structure of AgRu3 (PBE).

Output
- DOS(E_F) (states/eV/cell) = 5.89
- calculated density (g cm⁻³) = 11.60
- DFT formation energy (meV/atom) = 545
- raw total energy (eV/atom) = -7.12

Structure (POSCAR):
```
AgRu3
1.0
4.835 0.000 0.000
1.795 4.489 0.000
-3.315 -2.245 2.711
Ag Ru
1 3
Cartesian
0.000 0.000 0.000
0.897 2.245 1.355
3.315 2.245 0.000
2.417 0.000 1.355
```

---

Entry from Alexandria: an optimized crystal structure of BeZn4Te (PBE).

Output
- DOS(E_F) (states/eV/cell) = 2.75
- calculated density (g cm⁻³) = 6.35
- formation energy (no corrections) (eV per atom) = 0.4372
- raw total energy (eV/atom) = -1.56

Structure (POSCAR):
```
BeZn4Te
1.0
0.554 -4.543 2.632
0.176 0.011 5.277
-4.043 -1.950 2.780
Be Zn Te
1 4 1
Cartesian
-0.828 -1.621 2.672
-0.062 -3.078 5.291
-2.155 -4.050 4.053
-2.068 -4.045 6.670
-2.342 -1.792 5.365
0.000 0.000 0.000
```

---

Entry from Alexandria: an optimized crystal structure of Tm3Mg3Ag2 (PBE).

Output
- DOS(E_F) (states/eV/cell) = 5.68
- E above lowest polymorph (meV/atom) = 0
- calculated density (g cm⁻³) = 6.67
- DFT formation energy (meV/atom) = -168
- raw total energy (eV/atom) = -3.16

Structure (POSCAR):
```
Tm3Mg3Ag2
1.0
-1.590 -3.029 1.476
-4.813 -0.477 -6.162
6.909 -3.690 -0.131
Tm Mg Ag
3 3 2
Cartesian
0.080 -3.254 -1.888
-3.599 -1.793 -2.852
3.230 -3.664 0.662
1.615 -3.211 -4.849
-1.104 -0.110 -1.414
1.585 -0.847 -0.030
3.001 -2.619 -2.141
-0.906 -1.548 -4.152
```

---

Entry from Alexandria: an optimized crystal structure of Tb5Tm2Tl (PBE).

Output
- DOS(E_F) (states/eV/cell) = 10.52
- E above lowest polymorph (meV/atom) = 27
- calculated density (g cm⁻³) = 9.11
- DFT formation energy (meV/atom) = -5
- raw total energy (eV/atom) = -4.31

Structure (POSCAR):
```
Tb5Tm2Tl
1.0
3.356 -0.001 -0.668
-0.937 10.029 -4.718
-0.087 -2.245 8.357
Tb Tm Tl
5 2 1
Cartesian
-0.469 5.015 -2.359
1.725 3.428 -0.102
0.607 4.355 3.073
1.291 8.067 -2.284
1.040 -0.284 5.255
0.137 6.502 0.682
2.195 1.282 2.289
0.000 0.000 0.000
```

---

Entry from Alexandria: an optimized crystal structure of OsPd2 (PBE).

Output
- DOS(E_F) (states/eV/cell) = 4.72
- calculated density (g cm⁻³) = 14.93
- DFT formation energy (meV/atom) = 241
- raw total energy (eV/atom) = -6.96

Structure (POSCAR):
```
OsPd2
1.0
-2.416 0.148 -1.326
-0.679 -2.497 0.959
-0.903 3.662 4.924
Os Pd
1 2
Cartesian
0.000 0.000 0.000
-2.333 -0.377 1.337
-1.665 1.690 3.221
```

---

Entry from Alexandria: an optimized crystal structure of Y2RuPt (PBE).

Output
- DOS(E_F) (states/eV/cell) = 5.97
- calculated density (g cm⁻³) = 8.22
- DFT formation energy (meV/atom) = 138
- raw total energy (eV/atom) = -6.92

Structure (POSCAR):
```
Y2RuPt
1.0
4.666 0.000 0.000
0.000 4.666 0.000
2.333 2.333 8.799
Y Ru Pt
4 2 2
Cartesian
3.456 1.167 2.200
1.210 3.500 2.200
3.500 3.543 6.599
5.833 5.790 6.599
2.333 2.333 0.000
2.333 4.666 4.400
0.000 0.000 0.000
4.666 2.333 4.400
```

---

Entry from Alexandria: an optimized crystal structure of Tm6AlTl5 (PBE).

Output
- DOS(E_F) (states/eV/cell) = 8.75
- calculated density (g cm⁻³) = 11.02
- DFT formation energy (meV/atom) = -292
- raw total energy (eV/atom) = -3.83

Structure (POSCAR):
```
Tm6AlTl5
1.0
0.526 -5.279 -0.172
3.195 0.102 6.624
-8.987 1.766 0.224
Tl Tm Al
5 6 1
Cartesian
-2.165 -2.920 1.089
-4.751 -0.549 2.300
1.598 0.051 3.312
-0.514 -2.863 4.376
-3.101 -0.491 5.587
-3.733 -3.169 3.931
-5.362 -3.221 0.555
2.688 -2.562 4.940
1.034 -2.615 1.512
0.096 -0.190 6.121
-1.532 -0.242 2.745
0.000 0.000 0.000
```

---

Entry from Alexandria: an optimized crystal structure of Pr2YEr6 (PBE).

Output
- DOS(E_F) (states/eV/cell) = 25.14
- E above lowest polymorph (meV/atom) = 0
- calculated density (g cm⁻³) = 7.87
- DFT formation energy (meV/atom) = 75
- raw total energy (eV/atom) = -4.75

Structure (POSCAR):
```
Pr2YEr6
1.0
-8.851 1.967 0.616
-5.358 -6.728 2.319
-2.743 3.324 7.796
Pr Y Er
4 2 12
Cartesian
-5.941 -1.295 7.521
-6.105 0.717 3.906
-11.010 -0.142 3.210
-10.846 -2.154 6.825
-5.404 2.091 7.011
-11.547 -3.528 3.721
-8.186 -2.002 4.274
-5.028 -3.061 4.709
-8.765 0.565 6.458
-11.924 1.625 6.022
-9.013 2.571 3.717
-11.505 0.275 9.120
-7.938 -4.008 7.015
-5.446 -1.712 1.611
-8.714 -1.794 9.734
-3.338 1.195 1.681
-8.237 0.357 0.997
-13.613 -2.632 9.050
```

---

Entry from Alexandria: an optimized crystal structure of Er4PaS5 (PBE).

Output
- DOS(E_F) (states/eV/cell) = 6.19
- calculated density (g cm⁻³) = 8.59
- formation energy (no corrections) (eV per atom) = -1.8843
- raw total energy (eV/atom) = -6.72

Structure (POSCAR):
```
Er4PaS5
1.0
3.766 0.000 -0.727
-0.282 5.265 -1.461
0.039 0.025 10.324
Er Pa S
4 1 5
Cartesian
1.431 2.136 7.417
2.822 4.244 4.505
0.701 1.045 3.631
2.092 3.154 0.718
0.000 0.000 0.000
2.245 0.540 1.513
2.948 1.589 5.155
0.575 3.701 2.980
-0.141 2.632 -0.731
1.278 4.750 6.623
```

---

Entry from Alexandria: an optimized crystal structure of CoOsRu (PBE).

Output
- DOS(E_F) (states/eV/cell) = 4.24
- E above lowest polymorph (meV/atom) = 165
- calculated density (g cm⁻³) = 14.75
- DFT formation energy (meV/atom) = 218
- raw total energy (eV/atom) = -8.99

Structure (POSCAR):
```
CoOsRu
1.0
-2.385 3.216 -1.071
-1.514 -2.976 2.456
0.839 1.333 2.132
Co Os Ru
1 1 1
Cartesian
0.140 0.222 0.355
-1.665 -0.690 1.636
-1.535 2.041 1.526
```

---

Entry from Alexandria: an optimized crystal structure of Pr2HfSb3Rh4 (PBE).

Output
- DOS(E_F) (states/eV/cell) = 7.94
- calculated density (g cm⁻³) = 9.50
- formation energy (no corrections) (eV per atom) = -0.8599
- raw total energy (eV/atom) = -6.99

Structure (POSCAR):
```
Pr2HfSb3Rh4
1.0
4.391 0.000 0.000
0.000 4.391 0.000
0.000 0.000 11.217
Pr Hf Sb Rh
2 1 3 4
Cartesian
2.195 0.000 2.651
0.000 2.195 8.566
2.195 2.195 5.608
0.000 0.000 5.608
2.195 0.000 9.712
0.000 2.195 1.505
2.195 2.195 0.000
0.000 0.000 0.000
2.195 0.000 7.118
0.000 2.195 4.098
```

---

Entry from Alexandria: an optimized crystal structure of Ce2Ga6Rh (PBE).

Output
- DOS(E_F) (states/eV/cell) = 11.03
- E above lowest polymorph (meV/atom) = 0
- calculated density (g cm⁻³) = 7.64
- DFT formation energy (meV/atom) = -652
- raw total energy (eV/atom) = -4.81

Structure (POSCAR):
```
Ce2Ga6Rh
1.0
-3.573 -5.113 -0.631
1.509 -4.376 -4.228
2.148 -5.578 1.892
Ce Ga Rh
2 6 1
Cartesian
0.021 -3.767 -0.742
0.063 -11.300 -2.225
1.613 -8.585 -1.854
0.679 -6.161 -2.676
-0.596 -8.905 -0.291
-1.529 -6.481 -1.113
-0.873 -8.383 -2.950
0.957 -6.684 -0.017
0.000 0.000 0.000
```

---

Entry from Alexandria: an optimized crystal structure of CuNiSb4 (PBE).

Output
- DOS(E_F) (states/eV/cell) = 6.45
- E above lowest polymorph (meV/atom) = 0
- calculated density (g cm⁻³) = 7.74
- formation energy (no corrections) (eV per atom) = -0.0538
- raw total energy (eV/atom) = -4.45

Structure (POSCAR):
```
CuNiSb4
1.0
6.389 0.000 -0.005
0.000 6.399 0.000
0.089 0.000 6.398
Cu Ni Sb
2 2 8
Cartesian
3.239 0.000 3.196
0.044 3.199 3.199
0.000 0.000 0.000
3.194 3.199 -0.003
5.518 4.065 0.785
4.154 0.866 5.605
2.433 2.370 2.309
0.850 5.570 4.086
0.960 2.333 5.608
2.323 5.533 0.787
4.045 4.029 4.083
5.628 0.829 2.307
```

---

Entry from Alexandria: an optimized crystal structure of Th2MgAu (PBE).

Output
- DOS(E_F) (states/eV/cell) = 5.49
- E above lowest polymorph (meV/atom) = 22
- calculated density (g cm⁻³) = 10.89
- DFT formation energy (meV/atom) = -211
- raw total energy (eV/atom) = -5.14

Structure (POSCAR):
```
Th2MgAu
1.0
4.629 0.000 0.000
0.000 4.751 0.000
0.000 0.000 4.751
Mg Au Th
1 1 2
Cartesian
2.314 2.375 2.375
2.314 0.000 0.000
0.000 0.000 2.375
0.000 2.375 0.000
```

---

Entry from Alexandria: an optimized crystal structure of VPt2Au2 (PBE).

Output
- DOS(E_F) (states/eV/cell) = 11.52
- E above lowest polymorph (meV/atom) = 0
- calculated density (g cm⁻³) = 15.72
- DFT formation energy (meV/atom) = 251
- raw total energy (eV/atom) = -5.30

Structure (POSCAR):
```
VPt2Au2
1.0
7.020 0.000 0.000
0.000 7.020 0.000
0.000 0.000 3.579
Au Pt V
4 4 2
Cartesian
2.496 6.006 0.000
6.006 4.524 0.000
4.524 1.014 0.000
1.014 2.496 0.000
1.095 4.605 1.789
4.605 5.925 1.789
5.925 2.415 1.789
2.415 1.095 1.789
0.000 0.000 0.000
3.510 3.510 0.000
```

---

Entry from Alexandria: an optimized crystal structure of AcThAgOs (PBE).

Output
- DOS(E_F) (states/eV/cell) = 4.47
- calculated density (g cm⁻³) = 12.24
- DFT formation energy (meV/atom) = 10
- raw total energy (eV/atom) = -6.39

Structure (POSCAR):
```
AcThAgOs
1.0
5.257 0.000 0.000
2.628 4.553 0.000
2.628 1.518 4.292
Ac Os Ag Th
1 1 1 1
Cartesian
2.628 1.518 1.073
0.000 0.000 0.000
5.257 3.035 2.146
7.885 4.553 3.219
```

---

Entry from Alexandria: an optimized crystal structure of TcSnIO2 (PBE).

Output
- DOS(E_F) (states/eV/cell) = 3.24
- E above lowest polymorph (meV/atom) = 335
- calculated density (g cm⁻³) = 5.84
- formation energy (no corrections) (eV per atom) = 0.1513
- raw total energy (eV/atom) = -5.02

Structure (POSCAR):
```
TcSnIO2
1.0
-0.532 2.508 3.090
-3.897 -0.958 0.107
1.328 -4.928 4.228
I Sn O Tc
1 1 2 1
Cartesian
0.664 -2.464 2.114
0.000 0.000 0.000
-1.949 -0.479 0.054
-0.266 1.254 1.545
-1.551 -1.689 3.712
```

---

Entry from Alexandria: an optimized crystal structure of Ba8Sn2Bi (PBE).

Output
- DOS(E_F) (states/eV/cell) = 9.44
- calculated density (g cm⁻³) = 4.83
- DFT formation energy (meV/atom) = -474
- raw total energy (eV/atom) = -2.95

Structure (POSCAR):
```
Ba8Sn2Bi
1.0
-1.812 5.080 -2.216
-3.383 -3.995 -6.391
-7.456 -2.170 8.794
Ba Sn Bi
8 2 1
Cartesian
-8.698 -1.943 2.659
-6.930 -1.217 -4.793
-7.953 0.040 -1.075
-9.380 2.038 4.672
-4.698 -1.125 1.262
-5.721 0.132 4.980
-3.952 0.858 -2.472
-3.271 -3.123 -4.485
-7.046 1.682 1.946
-5.605 -2.767 -1.759
-0.906 2.540 -1.108
```

---

Entry from Alexandria: an optimized crystal structure of CsHgPbF6 (PBE).

Output
- DOS(E_F) (states/eV/cell) = 2.69
- calculated density (g cm⁻³) = 5.21
- formation energy (no corrections) (eV per atom) = -2.0344
- raw total energy (eV/atom) = -3.82

Structure (POSCAR):
```
CsHgPbF6
1.0
8.644 0.000 0.000
0.000 8.013 0.000
-4.322 -4.006 6.023
Cs Hg Pb F
2 2 2 12
Cartesian
4.322 2.003 4.029
0.000 2.003 1.994
4.322 4.006 0.000
4.322 0.000 0.000
2.161 -2.003 3.011
-2.161 -2.003 3.011
0.000 2.003 4.989
4.322 -2.003 3.652
6.098 -0.346 1.552
2.545 4.353 1.552
2.545 -0.346 1.552
6.098 4.353 1.552
4.322 2.003 1.033
0.000 6.010 2.371
-1.776 4.353 4.471
1.776 -0.346 4.471
1.776 4.353 4.471
-1.776 -0.346 4.471
```

---

Entry from Alexandria: an optimized crystal structure of ScZnIn (PBE).

Output
- DOS(E_F) (states/eV/cell) = 2.79
- calculated density (g cm⁻³) = 6.27
- DFT formation energy (meV/atom) = -291
- raw total energy (eV/atom) = -3.74

Structure (POSCAR):
```
ScZnIn
1.0
6.165 0.000 0.037
0.000 4.629 0.000
-1.663 0.000 4.170
Sc Zn In
2 2 2
Cartesian
1.912 1.489 1.052
4.112 3.803 1.931
-0.534 1.489 2.496
0.393 3.804 0.450
3.177 1.489 3.971
1.184 3.803 3.182
```

---

Entry from Alexandria: an optimized crystal structure of ErZn4Ag8 (PBE).

Output
- DOS(E_F) (states/eV/cell) = 4.96
- calculated density (g cm⁻³) = 9.30
- DFT formation energy (meV/atom) = -124
- raw total energy (eV/atom) = -2.62

Structure (POSCAR):
```
ErZn4Ag8
1.0
-2.243 -3.108 -3.631
4.567 -1.734 -5.176
0.734 -6.894 1.610
Er Zn Ag
1 4 8
Cartesian
0.000 0.000 0.000
0.367 -3.447 0.805
-0.755 -5.001 -1.010
2.284 -0.867 -2.588
1.162 -2.421 -4.404
2.057 -5.113 -0.733
3.244 -3.515 -2.834
2.696 -6.722 -3.589
0.361 -5.014 -3.608
2.624 -4.394 -5.537
0.434 -7.342 -1.660
0.496 -2.738 -1.802
2.562 -8.999 -5.395
```

---

Entry from Alexandria: an optimized crystal structure of YPaIrRu (PBE).

Output
- DOS(E_F) (states/eV/cell) = 4.31
- calculated density (g cm⁻³) = 12.51
- DFT formation energy (meV/atom) = -534
- raw total energy (eV/atom) = -9.06

Structure (POSCAR):
```
YPaIrRu
1.0
4.865 0.000 0.000
2.433 4.213 0.000
2.433 1.404 3.972
Y Ru Pa Ir
1 1 1 1
Cartesian
4.865 2.809 1.986
7.298 4.213 2.979
0.000 0.000 0.000
2.433 1.404 0.993
```